The following is a GGA-PBE calculation of a relaxed Tm2ThCo crystal, from the Alexandria database.

POSCAR file:
```
Tm2ThCo
1.0
3.625 0.000 0.000
0.000 9.521 0.000
-1.805 0.000 5.910
Tm Th Co
4 2 2
Direct
0.141 0.073 0.280 Tm
0.141 0.427 0.280 Tm
0.859 0.573 0.720 Tm
0.859 0.927 0.720 Tm
0.412 0.250 0.823 Th
0.588 0.750 0.177 Th
0.248 0.750 0.497 Co
0.752 0.250 0.503 Co
```

## Properties
DOS at the Fermi energy   9.6 states/eV per cell
SG   No. 11
Formation enthalpy at 0 K   -0.19 eV/atom